6
Lattice="5.351 0.000 0.000 0.000 3.863 0.000 0.000 0.000 6.627" Properties=species:S:1:pos:R:3 comment="PuMnTe (GGA-PBE, relaxed)" rho_g_cm3=10.34 formation_energy_uncorrected_ev_per_atom=-0.311 pbc="T T T"
Pu 1.338 0.000 1.619
Pu 4.013 0.000 5.008
Mn 0.000 1.931 3.314
Mn 2.675 1.931 3.314
Te 1.338 1.931 5.537
Te 4.013 1.931 1.090